Density functional theory data (SCAN) for Cs2TcF6 at its PBEsol-relaxed geometry.

CIF file:
```
data_Cs2TcF6
_cell_length_a 6.1898
_cell_length_b 6.1898
_cell_length_c 4.9659
_cell_angle_alpha 90.00
_cell_angle_beta 90.00
_cell_angle_gamma 120.00
_symmetry_space_group_name_H-M 'P -3 m 1'
_symmetry_Int_Tables_number 164
_symmetry_space_group_name_Hall '-P 3 2"'
loop_
_atom_site_label
_atom_site_type_symbol
_atom_site_fract_x
_atom_site_fract_y
_atom_site_fract_z
Cs1 Cs 0.3333 0.6667 0.2037
Tc1 Tc 0.0000 0.0000 0.5000
F1 F 0.1511 0.3022 0.7158
```

Results
The calculation puts the total magnetization at 0.333 μB/atom. Its formation energy (no corrections) is -2.839 eV/atom. The electronic total energy is -157.47 eV/cell.